# PmZrSi2 | Alexandria | PBE | optimized geometry
data_PmZrSi2
_chemical_formula_sum 'Pm3 Zr3 Si6'
_space_group_name_H-M_alt 'R -3 m'
_space_group_IT_number 166
_space_group_name_Hall '-R 3 2"'
_cell_length_a 3.9593
_cell_length_b 3.9593
_cell_length_c 20.1414
_cell_angle_alpha 90.00
_cell_angle_beta 90.00
_cell_angle_gamma 120.00
loop_
_atom_site_label
_atom_site_type_symbol
_atom_site_fract_x
_atom_site_fract_y
_atom_site_fract_z
_atom_site_occupancy
Pm1 Pm 0.0000 0.0000 0.0000 1
Zr1 Zr 0.0000 0.0000 0.5000 1
Si1 Si 0.0000 0.0000 0.2408 1
# - Calculated density: 5.3 g cm⁻³
# - V: 273.4 Å³ per cell
# - E_form (uncorrected): -0.58 eV/atom